# 1
Here is Sr2GaCuBr at its PBEsol-relaxed geometry from Alexandria via LeMat-Bulk. Energies are from SCAN.

extended XYZ file:
```
5
Lattice="5.986 0.000 0.000 0.000 5.986 0.000 0.000 0.000 4.430" Properties=species:S:1:pos:R:3 pbc="T T T"
Sr 0.000 2.993 0.000
Sr 2.993 0.000 0.000
Ga 0.000 0.000 0.000
Cu 0.000 0.000 2.215
Br 2.993 2.993 2.215
```

Calculated values
The value obtained for the spin magnetization is 0.000 μB/f.u. As for the symmetry: P4/mmm. The uncorrected formation energy comes out at -0.6079 eV per atom.

# 2
Here is FeSb2Ir at its PBEsol-relaxed geometry from Alexandria via LeMat-Bulk. Energies are from SCAN.

extended XYZ file:
```
4
Lattice="0.000 3.250 3.250 3.250 0.000 3.250 3.250 3.250 0.000" Properties=species:S:1:pos:R:3 pbc="T T T"
Fe 0.000 0.000 0.000
Sb 1.625 1.625 1.625
Sb 4.875 4.875 4.875
Ir 3.250 3.250 3.250
```

Calculated values
The value obtained for the spin magnetization is 2.482 μB/f.u. The value obtained for the energy relative to the lowest polymorph listed for this composition is 438 meV/atom. As for the symmetry: Fm-3m. The uncorrected formation energy comes out at 0.2646 eV per atom.

# 3
Here is NiMo2Os at its PBEsol-relaxed geometry from Alexandria via LeMat-Bulk. Energies are from SCAN.

extended XYZ file:
```
4
Lattice="-1.903 1.903 3.785 1.903 -1.903 3.785 1.903 1.903 -3.785" Properties=species:S:1:pos:R:3 pbc="T T T"
Ni 0.000 0.000 0.000
Mo 1.903 0.000 1.892
Mo 0.000 1.903 1.892
Os 0.000 0.000 3.785
```

Calculated values
The value obtained for the spin magnetization is 0.000 μB/f.u. The value obtained for the energy relative to the lowest polymorph listed for this composition is 0 meV/atom. As for the symmetry: I4/mmm.

# 4
Here is La2TaRh at its PBEsol-relaxed geometry from Alexandria via LeMat-Bulk. Energies are from SCAN.

extended XYZ file:
```
4
Lattice="3.685 -3.799 0.000 3.685 3.799 0.000 0.000 0.000 3.280" Properties=species:S:1:pos:R:3 pbc="T T T"
La 1.842 1.900 0.000
La 1.842 -1.900 0.000
Ta 0.000 0.000 1.640
Rh 3.685 0.000 1.640
```

Calculated values
The value obtained for the spin magnetization is 0.000 μB/f.u. For the calculated total energy, the calculation gives -46.44 eV/atom. As for the symmetry: Cmmm.

# 5
Here is BaPb3F at its PBEsol-relaxed geometry from Alexandria via LeMat-Bulk. Energies are from SCAN.

extended XYZ file:
```
5
Lattice="6.285 0.000 0.000 0.000 6.285 0.000 0.000 0.000 6.285" Properties=species:S:1:pos:R:3 pbc="T T T"
Ba 0.000 0.000 0.000
Pb 0.000 0.000 3.142
Pb 0.000 3.142 0.000
Pb 3.142 0.000 0.000
F 3.142 3.142 3.142
```

Calculated values
The value obtained for the spin magnetization is 1.326 μB/f.u. As for the symmetry: Pm-3m. The uncorrected formation energy comes out at 0.6720 eV per atom.

# 6
Here is AgMoP2 at its PBEsol-relaxed geometry from Alexandria via LeMat-Bulk. Energies are from SCAN.

extended XYZ file:
```
4
Lattice="1.524 0.880 7.725 -1.524 0.880 7.725 0.000 -1.760 7.725" Properties=species:S:1:pos:R:3 pbc="T T T"
Ag 0.000 0.000 0.000
Mo 0.000 0.000 11.587
P 0.000 0.000 5.551
P 0.000 0.000 17.622
```

Calculated values
The value obtained for the spin magnetization is 0.000 μB/f.u. The value obtained for the energy relative to the lowest polymorph listed for this composition is 0 meV/atom. As for the symmetry: R-3m.

# 7
Here is FeRh2Cl at its PBEsol-relaxed geometry from Alexandria via LeMat-Bulk. Energies are from SCAN.

extended XYZ file:
```
4
Lattice="2.785 0.000 0.000 0.000 2.785 0.000 0.000 0.000 7.051" Properties=species:S:1:pos:R:3 pbc="T T T"
Fe 0.000 0.000 0.000
Rh 0.000 0.000 3.464
Rh 1.393 1.393 1.692
Cl 1.393 1.393 5.464
```

Calculated values
The value obtained for the spin magnetization is 2.551 μB/f.u. As for the symmetry: P4mm. The uncorrected formation energy comes out at 0.1957 eV per atom.

# 8
Here is Sr3PdRh at its PBEsol-relaxed geometry from Alexandria via LeMat-Bulk. Energies are from SCAN.

extended XYZ file:
```
5
Lattice="5.569 0.000 0.000 0.000 5.569 0.000 0.000 0.000 5.569" Properties=species:S:1:pos:R:3 pbc="T T T"
Sr 0.000 0.000 2.784
Sr 0.000 2.784 0.000
Sr 2.784 0.000 0.000
Pd 0.000 0.000 0.000
Rh 2.784 2.784 2.784
```

Calculated values
The value obtained for the spin magnetization is 0.000 μB/f.u. For the calculated total energy, the calculation gives -26.47 eV/atom. As for the symmetry: Pm-3m.